Computed, not measured: an optimized crystal structure of YAlZn2Pd4 at the PBE level of DFT.

a b c (Å): 4.471 4.471 7.992
angles (deg): 73.76 73.76 60.00
Atoms (fractional coordinates):
Y  0.000  0.000  0.000
Al  0.500  0.500  0.500
Zn  0.751  0.751  0.747
Zn  0.249  0.249  0.253
Pd  0.391  0.391  0.827
Pd  0.869  0.869  0.393
Pd  0.131  0.131  0.607
Pd  0.609  0.609  0.173

Properties
Total energy (eV per atom): -4.912
Symmetry: R-3m (166)
Total magnetic moment (μB per formula unit): 0.0
Formation energy from the elements (kJ/mol of atoms): -69.6
N(E_F) (states/eV/cell): 2.51